Entry 1:
Compound: KLi4Tl
Source: the Alexandria database
Functional: GGA-PBE
Structure: relaxed

Formation energy: 0.0177 eV/atom
M_tot: 0.000 μB/cell
Final energy: -1.835 eV/atom

Cell: 5.9642 5.9642 5.9642 Å, 60.00 60.00 60.00°
With the nearest neighbours (Å) after each atom.
Atoms (fractional coordinates):
K 0.0000 0.0000 0.0000  12 Li 3.51, 4 Tl 3.65
Li 0.1352 0.6216 0.6216  6 Li 2.90-3.06
Li 0.6216 0.1352 0.6216  6 Li 2.90-3.06
Li 0.6216 0.6216 0.1352  6 Li 2.90-3.06
Li 0.6216 0.6216 0.6216  6 Li 2.90-3.06
Tl 0.2500 0.2500 0.2500  12 Li 3.49, 4 K 3.65

Entry 2:
Compound: SnAsCBr2
Source: the Alexandria database
Functional: GGA-PBE
Structure: relaxed

M_tot: 3.855 μB/cell
Final energy: -2.666 eV/atom
Polymorph energy (0 for the lowest one): 637.3 meV per atom

Cell: 5.6193 5.6193 5.5733 Å, 90.00 90.00 90.00°
With the nearest neighbours (Å) after each atom.
Atoms (fractional coordinates):
Sn 0.0000 0.0000 0.0000  2 As 2.79, 4 Br 2.81
As 0.0000 0.0000 0.5000  2 Sn 2.79
C 0.5000 0.5000 0.5000  8 Br 3.96, 4 As 3.97
Br 0.0000 0.5000 0.0000  2 Sn 2.81
Br 0.5000 0.0000 0.0000  2 Sn 2.81

Entry 3:
Compound: Tb4Er5
Source: the Alexandria database
Functional: GGA-PBE
Structure: relaxed

Formation energy: 0.0610 eV/atom
M_tot: 0.000 μB/cell
Final energy: -4.532 eV/atom
Polymorph energy (0 for the lowest one): 24.0 meV per atom

Cell: 9.6281 9.6281 6.9508 Å, 90.00 90.00 120.00°
With the nearest neighbours (Å) after each atom.
Atoms (fractional coordinates):
Tb 0.0000 0.0000 0.0000  6 Er 3.46, 8 Tb 3.48-3.85
Tb 0.0000 0.0000 0.5000  6 Er 3.46, 8 Tb 3.48-3.85
Tb 0.0000 0.3569 0.2500  9 Er 3.20-3.56
Tb 0.0000 0.6431 0.7500  9 Er 3.20-3.56
Tb 0.3569 0.0000 0.2500  9 Er 3.20-3.56
Tb 0.3569 0.3569 0.7500  9 Er 3.20-3.56
Tb 0.6431 0.0000 0.7500  9 Er 3.20-3.56
Tb 0.6431 0.6431 0.2500  9 Er 3.20-3.56
Er 0.0000 0.3108 0.7500  7 Tb 3.20-3.50
Er 0.0000 0.6892 0.2500  7 Tb 3.20-3.50
Er 0.3108 0.0000 0.7500  7 Tb 3.20-3.50
Er 0.3108 0.3108 0.2500  7 Tb 3.20-3.50
Er 0.3333 0.6667 0.0000  8 Er 3.48-3.75, 6 Tb 3.56
Er 0.3333 0.6667 0.5000  8 Er 3.48-3.75, 6 Tb 3.56
Er 0.6667 0.3333 0.0000  8 Er 3.48-3.75, 6 Tb 3.56
Er 0.6667 0.3333 0.5000  8 Er 3.48-3.75, 6 Tb 3.56
Er 0.6892 0.0000 0.2500  7 Tb 3.20-3.50
Er 0.6892 0.6892 0.7500  7 Tb 3.20-3.50

Entry 4:
Compound: HoLuIrPt
Source: the Alexandria database
Functional: GGA-PBE
Structure: relaxed

Formation energy: -1.0856 eV/atom
M_tot: 0.000 μB/cell
Final energy: -7.086 eV/atom

Cell: 4.8316 4.8316 4.8316 Å, 60.00 60.00 60.00°
With the nearest neighbours (Å) after each atom.
Atoms (fractional coordinates):
Ho 0.0000 0.0000 0.0000  4 Ir 2.96, 4 Pt 2.96
Lu 0.5000 0.5000 0.5000  4 Ir 2.96, 4 Pt 2.96
Ir 0.7500 0.7500 0.7500  4 Ho 2.96, 4 Lu 2.96
Pt 0.2500 0.2500 0.2500  4 Ho 2.96, 4 Lu 2.96